Record 1
A geometry-optimized Y2Bi2As structure. Source: the Alexandria database, functional GGA-PBE.

Lattice parameters (Å, degrees): 8.300 8.300 4.210 90.00 90.00 90.00
Space group P4/mbm (No. 127)
Unique sites:
Y 0.156 0.344 0.000 (multiplicity 4)
Bi 0.151 0.651 0.500 (multiplicity 4)
As 0.000 0.000 0.500 (multiplicity 2)

The energy of formation is -216 kJ/mol of formula units. The value obtained for the final energy is -5.52 eV/atom. The total magnetization comes out at 0.000 μB/atom.

***

Record 2
A geometry-optimized Y4Bi2As structure. Source: the Alexandria database, functional GGA-PBE.

Lattice parameters (Å, degrees): 5.272 5.272 16.206 90.00 90.00 90.00
Space group I4/mmm (No. 139)
Unique sites:
Y 0.000 0.000 0.170 (multiplicity 4)
Y 0.000 0.500 0.000 (multiplicity 4)
Bi 0.000 0.000 0.364 (multiplicity 4)
As 0.000 0.000 0.000 (multiplicity 2)

The energy of formation is -455 kJ/mol of formula units. The value obtained for the final energy is -6.14 eV/atom. The total magnetization comes out at 0.000 μB/atom.

***

Record 3
A geometry-optimized Y2BiAs structure. Source: the Alexandria database, functional GGA-PBE.

Lattice parameters (Å, degrees): 7.504 7.504 7.504 90.00 90.00 90.00
Space group Fm-3m (No. 225)
Unique sites:
Y 0.250 0.250 0.250 (multiplicity 8)
Bi 0.000 0.000 0.000 (multiplicity 4)
As 0.000 0.000 0.500 (multiplicity 4)

The energy of formation is -295 kJ/mol of formula units. The value obtained for the final energy is -6.13 eV/atom. The total magnetization comes out at 0.000 μB/atom.

***

Record 4
A geometry-optimized Zn2Bi2As structure. Source: the Alexandria database, functional GGA-PBE.

Lattice parameters (Å, degrees): 6.981 6.981 4.812 90.00 90.00 90.00
Space group P4/mbm (No. 127)
Unique sites:
Zn 0.128 0.372 0.000 (multiplicity 4)
Bi 0.197 0.697 0.500 (multiplicity 4)
As 0.000 0.000 0.000 (multiplicity 2)

The energy of formation is 98 kJ/mol of formula units. The value obtained for the final energy is -2.79 eV/atom. The total magnetization comes out at 0.000 μB/atom.

***

Repeat the first record exactly.
A geometry-optimized Y2Bi2As structure. Source: the Alexandria database, functional GGA-PBE.

Lattice parameters (Å, degrees): 8.300 8.300 4.210 90.00 90.00 90.00
Space group P4/mbm (No. 127)
Unique sites:
Y 0.156 0.344 0.000 (multiplicity 4)
Bi 0.151 0.651 0.500 (multiplicity 4)
As 0.000 0.000 0.500 (multiplicity 2)

The energy of formation is -216 kJ/mol of formula units. The value obtained for the final energy is -5.52 eV/atom. The total magnetization comes out at 0.000 μB/atom.

***

- Which of these has the highest energy of formation?
  Zn2Bi2As

***

- What is the formula in the third record?
  Y2BiAs